Density functional theory data (PBE) for an optimized crystal structure of LiNi3As2.

Cell: 3.7039 8.0258 9.0693 Å, 105.79 90.00 103.34°
Closest atoms and distances in Å follow each position.
Sites, in units of the cell vectors:
Ni: 0.7870 0.5740 0.6030  4 As 2.28-2.37
Li: 0.0000 0.0000 0.0000  6 Ni 2.84-2.85, 6 As 2.89-2.92
Ni: 0.3863 0.7725 0.8008  4 As 2.38-2.50, 3 Ni 2.61-2.63
Ni: 0.5000 0.0000 0.5000  4 As 2.26-2.51
Ni: 0.0402 0.0803 0.3268  4 As 2.34-2.53, 5 Ni 2.59-2.62
Ni: 0.6841 0.3683 0.9681  4 As 2.33-2.36
Ni: 0.9598 0.9197 0.6732  4 As 2.34-2.53, 5 Ni 2.59-2.62
Ni: 0.6137 0.2275 0.1992  4 As 2.38-2.50, 3 Ni 2.61-2.63
As: 0.1932 0.3865 0.1330  6 Ni 2.33-2.40
Ni: 0.2130 0.4260 0.3970  4 As 2.28-2.37
As: 0.8068 0.6135 0.8670  6 Ni 2.33-2.40
As: 0.4558 0.9116 0.2117  5 Ni 2.33-2.51
As: 0.3607 0.7214 0.5295  7 Ni 2.26-2.53
Ni: 0.3159 0.6317 0.0319  4 As 2.33-2.36
As: 0.6393 0.2786 0.4705  7 Ni 2.26-2.53
As: 0.5442 0.0884 0.7883  5 Ni 2.33-2.51
Li: 0.1614 0.3228 0.7157  6 As 2.81-2.95, 5 Ni 2.89-3.07
Li: 0.8386 0.6772 0.2843  6 As 2.81-2.95, 5 Ni 2.89-3.07

Values from the calculation:
For the total energy, the calculation gives -5.153 eV/atom. The calculation puts the density of states at the Fermi level at 10.221 states/eV per cell. The value obtained for the formation enthalpy at 0 K is -394 meV per atom. Its offset from the most stable computed form is 0 kJ/mol of formula units. The magnetization is 0.0 μB per formula unit.

---

Density functional theory data (PBE) for an optimized crystal structure of PrHg2Sb2.

Cell: 4.5004 4.4968 13.8618 Å, 90.00 99.34 90.00°
Closest atoms and distances in Å follow each position.
Sites, in units of the cell vectors:
Hg: 0.0471 0.7500 0.0942  8 Hg 3.18-3.42, 2 Sb 3.35
Pr: 0.6571 0.7500 0.3142  8 Sb 3.22-3.40
Hg: 0.5451 0.2500 0.0901  8 Hg 3.18-3.38, 2 Sb 3.39
Sb: 0.1377 0.2500 0.2754  4 Pr 3.22, 4 Hg 3.35-3.39
Hg: 0.9529 0.2500 0.9058  8 Hg 3.18-3.42, 2 Sb 3.35
Hg: 0.4549 0.7500 0.9099  8 Hg 3.18-3.38, 2 Sb 3.39
Pr: 0.3429 0.2500 0.6858  8 Sb 3.22-3.40
Sb: 0.7501 0.2500 0.5002  4 Sb 3.18, 4 Pr 3.39-3.40
Sb: 0.8623 0.7500 0.7246  4 Pr 3.22, 4 Hg 3.35-3.39
Sb: 0.2499 0.7500 0.4998  4 Sb 3.18, 4 Pr 3.39-3.40

Values from the calculation:
For the total energy, the calculation gives -3.148 eV/atom. The calculation puts the density of states at the Fermi level at 4.385 states/eV per cell. The magnetization is 0.0 μB per formula unit. As for the uncorrected formation energy: -204 kJ/mol of formula units.

---

Density functional theory data (PBE) for an optimized crystal structure of CdTePb2.

Cell: 6.1615 6.1615 5.4250 Å, 71.54 71.54 38.27°
Closest atoms and distances in Å follow each position.
Sites, in units of the cell vectors:
Cd: 0.7623 0.7623 0.7868  7 Pb 3.32-3.41, 2 Te 3.33
Pb: 0.2358 0.2358 0.3034  3 Te 3.33-3.37, 4 Cd 3.38-3.41, 2 Pb 3.61-3.70
Pb: 0.0124 0.0124 0.9522  3 Cd 3.32-3.41, 4 Te 3.34-3.44, 2 Pb 3.61-3.70
Te: 0.4896 0.4896 0.4576  7 Pb 3.33-3.44, 2 Cd 3.33

Values from the calculation:
For the total energy, the calculation gives -2.911 eV/atom. The calculation puts the density of states at the Fermi level at 2.042 states/eV per cell. Its offset from the most stable computed form is 10 kJ/mol of formula units. The magnetization is 0.0 μB per formula unit. As for the uncorrected formation energy: -16 kJ/mol of formula units.

---

Density functional theory data (PBE) for an optimized crystal structure of Sm3BiTe6.

Cell: 7.6772 9.7346 9.7346 Å, 103.03 90.00 90.00°
Closest atoms and distances in Å follow each position.
Sites, in units of the cell vectors:
Te: 0.1742 0.3713 0.2955  4 Sm 3.13-3.20
Sm: 0.4866 0.9173 0.7193  7 Te 3.13-3.36
Bi: 0.5011 0.8214 0.1786  4 Te 2.98-3.27
Sm: 0.8717 0.5908 0.4092  7 Te 3.18-3.27
Te: 0.6742 0.6287 0.7045  4 Sm 3.13-3.20
Te: 0.7123 0.5592 0.0963  1 Bi 2.98, 2 Sm 3.20-3.23
Bi: 0.0011 0.1786 0.8214  4 Te 2.98-3.27
Sm: 0.9866 0.0827 0.2807  7 Te 3.13-3.36
Te: 0.6742 0.2955 0.3713  4 Sm 3.13-3.20
Sm: 0.3717 0.4092 0.5908  7 Te 3.18-3.27
Te: 0.1197 0.7657 0.2343  1 Bi 3.05, 3 Sm 3.19-3.27
Te: 0.2123 0.4408 0.9037  1 Bi 2.98, 2 Sm 3.20-3.23
Sm: 0.4866 0.2807 0.0827  7 Te 3.13-3.36
Te: 0.2123 0.0963 0.5592  1 Bi 2.98, 2 Sm 3.20-3.23
Te: 0.7123 0.9037 0.4408  1 Bi 2.98, 2 Sm 3.20-3.23
Te: 0.1742 0.7045 0.6287  4 Sm 3.13-3.20
Te: 0.2465 0.0033 0.9967  4 Sm 3.22-3.36, 2 Bi 3.27-3.39
Sm: 0.9866 0.7193 0.9173  7 Te 3.13-3.36
Te: 0.6197 0.2343 0.7657  1 Bi 3.05, 3 Sm 3.19-3.27
Te: 0.7465 0.9967 0.0033  4 Sm 3.22-3.36, 2 Bi 3.27-3.39

Values from the calculation:
For the total energy, the calculation gives -4.759 eV/atom. The calculation puts the density of states at the Fermi level at 0.033 states/eV per cell. The magnetization is 0.0 μB per formula unit. As for the uncorrected formation energy: -1033 kJ/mol of formula units.

---

Density functional theory data (PBE) for an optimized crystal structure of NaSiRu.

Cell: 4.3134 4.3134 6.3581 Å, 90.00 90.00 90.00°
Closest atoms and distances in Å follow each position.
Sites, in units of the cell vectors:
Si: 0.5000 0.0000 0.6477  4 Ru 2.35
Na: 0.0000 0.5000 0.8504  4 Ru 3.10, 6 Si 3.17-3.31
Ru: 0.5000 0.5000 0.5000  4 Si 2.35
Si: 0.0000 0.5000 0.3523  4 Ru 2.35
Ru: 0.0000 0.0000 0.5000  4 Si 2.35
Na: 0.5000 0.0000 0.1496  4 Ru 3.10, 6 Si 3.17-3.31

Values from the calculation:
For the total energy, the calculation gives -5.631 eV/atom. The calculation puts the density of states at the Fermi level at 4.344 states/eV per cell. The magnetization is 0.0 μB per formula unit. As for the uncorrected formation energy: -84 kJ/mol of formula units.

---

Density functional theory data (PBE) for an optimized crystal structure of AcSm2Y8.

Cell: 5.5465 8.2937 9.5953 Å, 115.61 106.80 90.00°
Closest atoms and distances in Å follow each position.
Sites, in units of the cell vectors:
Y: 0.0000 0.2970 0.0000  7 Y 3.37-3.65, 2 Sm 3.67, 2 Ac 3.71
Y: 0.3548 0.5605 0.7096  3 Sm 3.37-3.53, 1 Ac 3.41, 6 Y 3.41-3.70
Sm: 0.8011 0.3011 0.6021  10 Y 3.37-3.67
Y: 0.3548 0.1490 0.7096  3 Sm 3.37-3.53, 1 Ac 3.41, 6 Y 3.41-3.70
Y: 0.1619 0.1619 0.3238  2 Sm 3.59, 8 Y 3.59-3.70, 2 Ac 3.84
Sm: 0.1989 0.6989 0.3979  10 Y 3.37-3.67
Y: 0.8381 0.8381 0.6762  2 Sm 3.59, 8 Y 3.59-3.70, 2 Ac 3.84
Y: 0.6452 0.4395 0.2904  3 Sm 3.37-3.53, 1 Ac 3.41, 6 Y 3.41-3.70
Y: 0.0000 0.7030 0.0000  7 Y 3.37-3.65, 2 Sm 3.67, 2 Ac 3.71
Ac: 0.5000 0.0000 0.0000  8 Y 3.41-3.71
Y: 0.6452 0.8510 0.2904  3 Sm 3.37-3.53, 1 Ac 3.41, 6 Y 3.41-3.70

Values from the calculation:
For the total energy, the calculation gives -5.809 eV/atom. The calculation puts the density of states at the Fermi level at 16.214 states/eV per cell. The value obtained for the formation enthalpy at 0 K is 124 meV per atom. Its offset from the most stable computed form is 0 kJ/mol of formula units. The magnetization is 0.0 μB per formula unit.

---

Density functional theory data (PBE) for an optimized crystal structure of CaLaH.

Cell: 3.7297 3.7383 6.9875 Å, 75.31 75.04 60.42°
Closest atoms and distances in Å follow each position.
Sites, in units of the cell vectors:
La: 0.2475 0.2237 0.7215  1 H 2.31
Ca: 0.7326 0.7021 0.2642  3 H 2.28
H: 0.3621 0.3322 0.3747  3 Ca 2.28, 1 La 2.31

Values from the calculation:
For the total energy, the calculation gives -3.629 eV/atom. The calculation puts the density of states at the Fermi level at 2.479 states/eV per cell. Its offset from the most stable computed form is 9 kJ/mol of formula units. The magnetization is 0.0 μB per formula unit.

---

Density functional theory data (PBE) for an optimized crystal structure of NaTiCl2.

Cell: 4.8087 4.8087 4.8087 Å, 60.00 60.00 60.00°
Closest atoms and distances in Å follow each position.
Sites, in units of the cell vectors:
Ti: 0.5000 0.5000 0.5000  8 Cl 2.94
Cl: 0.7500 0.7500 0.7500  4 Na 2.94, 4 Ti 2.94
Cl: 0.2500 0.2500 0.2500  4 Ti 2.94, 4 Na 2.94
Na: 0.0000 0.0000 0.0000  8 Cl 2.94

Values from the calculation:
For the total energy, the calculation gives -3.928 eV/atom. The calculation puts the density of states at the Fermi level at 3.178 states/eV per cell. Its offset from the most stable computed form is 117 kJ/mol of formula units. The magnetization is 3.0 μB per formula unit. As for the uncorrected formation energy: -271 kJ/mol of formula units.

---

Density functional theory data (PBE) for an optimized crystal structure of CaTl2Zn.

Cell: 5.9380 5.9380 5.9380 Å, 48.13 48.13 48.13°
Closest atoms and distances in Å follow each position.
Sites, in units of the cell vectors:
Zn: 0.2500 0.2500 0.2500  6 Tl 2.97
Tl: 0.5201 0.5201 0.5201  3 Zn 2.97, 3 Ca 3.23
Ca: 0.7500 0.7500 0.7500  8 Tl 3.23-3.61
Tl: 0.9799 0.9799 0.9799  3 Zn 2.97, 3 Ca 3.23

Values from the calculation:
For the total energy, the calculation gives -2.152 eV/atom. The calculation puts the density of states at the Fermi level at 1.495 states/eV per cell. The value obtained for the formation enthalpy at 0 K is -150 meV per atom. The magnetization is 0.0 μB per formula unit.

---

Density functional theory data (PBE) for an optimized crystal structure of PrHo3Th2As6.

Cell: 4.1970 8.3535 9.3488 Å, 102.60 102.97 90.00°
Closest atoms and distances in Å follow each position.
Sites, in units of the cell vectors:
Th: 0.1657 0.3311 0.3313  6 As 2.97-3.01
As: 0.3300 0.9206 0.6601  3 Ho 2.92, 2 Th 2.98, 1 Pr 3.02
As: 0.3349 0.4122 0.6698  3 Ho 2.93-2.94, 3 Th 3.00-3.01
Ho: 0.1654 0.8336 0.3308  6 As 2.91-2.94
As: 0.6651 0.5878 0.3302  3 Ho 2.93-2.94, 3 Th 3.00-3.01
Ho: 0.5000 0.5000 0.0000  6 As 2.91-2.93
Ho: 0.8346 0.1664 0.6692  6 As 2.91-2.94
As: 0.0015 0.7414 0.0030  3 Ho 2.91, 1 Th 2.97, 2 Pr 3.02
As: 0.6700 0.0794 0.3399  3 Ho 2.92, 2 Th 2.98, 1 Pr 3.02
As: 0.9985 0.2586 0.9970  3 Ho 2.91, 1 Th 2.97, 2 Pr 3.02
Th: 0.8343 0.6689 0.6687  6 As 2.97-3.01
Pr: 0.5000 0.0000 0.0000  6 As 3.02

Values from the calculation:
For the total energy, the calculation gives -6.591 eV/atom. The calculation puts the density of states at the Fermi level at 3.982 states/eV per cell. The value obtained for the formation enthalpy at 0 K is -1487 meV per atom. The magnetization is 0.0 μB per formula unit.

---

Density functional theory data (PBE) for an optimized crystal structure of Er3Tm4Pb2.

Cell: 4.5868 6.1164 10.2940 Å, 75.53 77.13 67.98°
Closest atoms and distances in Å follow each position.
Sites, in units of the cell vectors:
Tm: 0.3268 0.4582 0.8882  4 Tm 3.30-3.31, 4 Pb 3.44-3.57, 4 Er 3.46-3.50
Pb: 0.3433 0.0944 0.2191  5 Er 3.29-3.51, 7 Tm 3.42-3.57
Tm: 0.0085 0.6538 0.3292  3 Tm 3.31-3.55, 6 Er 3.42-3.56, 3 Pb 3.42-3.55
Tm: 0.9915 0.3462 0.6708  3 Tm 3.31-3.55, 6 Er 3.42-3.56, 3 Pb 3.42-3.55
Er: 0.3282 0.7869 0.5567  3 Pb 3.37-3.51, 3 Er 3.37-3.64, 6 Tm 3.42-3.56
Er: 0.6718 0.2131 0.4433  3 Pb 3.37-3.51, 3 Er 3.37-3.64, 6 Tm 3.42-3.56
Er: 0.0000 0.0000 0.0000  4 Pb 3.29, 8 Tm 3.46-3.52
Tm: 0.6732 0.5418 0.1118  4 Tm 3.30-3.31, 4 Pb 3.44-3.57, 4 Er 3.46-3.50
Pb: 0.6567 0.9056 0.7809  5 Er 3.29-3.51, 7 Tm 3.42-3.57

Values from the calculation:
For the total energy, the calculation gives -4.540 eV/atom. The calculation puts the density of states at the Fermi level at 8.628 states/eV per cell. The value obtained for the formation enthalpy at 0 K is -208 meV per atom. Its offset from the most stable computed form is 0 kJ/mol of formula units. The magnetization is 0.0 μB per formula unit.

---

Density functional theory data (PBE) for an optimized crystal structure of Ce2SmY3S6.

Cell: 6.8501 6.8501 6.9206 Å, 99.52 99.52 120.05°
Closest atoms and distances in Å follow each position.
Sites, in units of the cell vectors:
Y: 0.8350 0.1650 0.5000  6 S 2.76-2.78
S: 0.0867 0.4198 0.2602  3 Y 2.77-2.78, 1 Sm 2.84, 2 Ce 2.85
S: 0.4198 0.0867 0.2602  3 Y 2.77-2.78, 1 Sm 2.84, 2 Ce 2.85
S: 0.7532 0.7532 0.2588  3 Y 2.76-2.78, 2 Ce 2.84, 1 Sm 2.84
S: 0.2468 0.2468 0.7412  3 Y 2.76-2.78, 2 Ce 2.84, 1 Sm 2.84
Y: 0.1650 0.8350 0.5000  6 S 2.76-2.78
S: 0.9133 0.5802 0.7398  3 Y 2.77-2.78, 1 Sm 2.84, 2 Ce 2.85
S: 0.5802 0.9133 0.7398  3 Y 2.77-2.78, 1 Sm 2.84, 2 Ce 2.85
Y: 0.5000 0.5000 0.5000  6 S 2.77-2.78
Sm: 0.0000 0.0000 0.0000  6 S 2.84
Ce: 0.3336 0.6664 0.0000  6 S 2.84-2.85
Ce: 0.6664 0.3336 0.0000  6 S 2.84-2.85

Values from the calculation:
For the total energy, the calculation gives -7.090 eV/atom. The calculation puts the density of states at the Fermi level at 12.331 states/eV per cell. The magnetization is 1.6 μB per formula unit. As for the uncorrected formation energy: -2348 kJ/mol of formula units.